No. 1
The following is a DFT calculation (PBE-GGA) of a relaxed structure of LiNiHgBi.

Lattice parameters (Å, degrees): 4.6941 4.6941 4.6941 60.00 60.00 60.00
Sites, in units of the cell vectors:
Bi: 0.5000 0.5000 0.5000
Ni: 0.2500 0.2500 0.2500
Hg: 0.0000 0.0000 0.0000
Li: 0.7500 0.7500 0.7500

Properties
Total moment, μB per formula unit: 0.0
Space-group type: F-43m (216)
E, eV per atom: -3.03
Excess energy over the best structure of this formula in the dataset, kJ/mol of atoms: 0.00

No. 2
The following is a DFT calculation (PBE-GGA) of a relaxed structure of Si4Ni3Pt.

Lattice parameters (Å, degrees): 4.8217 3.3852 6.0855 90.00 90.23 90.00
Sites, in units of the cell vectors:
Ni: 0.1660 0.0000 0.8636
Ni: 0.1674 0.0000 0.3870
Ni: 0.8409 0.5000 0.6241
Si: 0.6535 0.0000 0.8579
Si: 0.3419 0.5000 0.6255
Si: 0.6536 0.0000 0.3913
Si: 0.3366 0.5000 0.1250
Pt: 0.8401 0.5000 0.1255

Properties
Total moment, μB per formula unit: 0.0
Space-group type: Pm (6)
E, eV per atom: -6.02

No. 3
The following is a DFT calculation (PBE-GGA) of a relaxed structure of Pr3Si4Ir2Au2.

Lattice parameters (Å, degrees): 12.9488 12.9488 12.9488 161.53 161.21 26.47
Sites, in units of the cell vectors:
Pr: 0.3510 0.8510 0.5000
Pr: 0.0000 0.0000 0.0000
Pr: 0.6490 0.1490 0.5000
Si: 0.1997 0.6997 0.5000
Si: 0.8003 0.3003 0.5000
Si: 0.4526 0.4526 0.0000
Si: 0.5474 0.5474 0.0000
Au: 0.9009 0.4009 0.5000
Au: 0.0991 0.5991 0.5000
Ir: 0.7505 0.7505 0.0000
Ir: 0.2495 0.2495 0.0000

Properties
Total moment, μB per formula unit: 0.0
Space-group type: Immm (71)
E, eV per atom: -6.40

No. 4
The following is a DFT calculation (PBE-GGA) of a relaxed structure of LaGaNiPd.

Lattice parameters (Å, degrees): 4.3420 4.3420 9.6877 90.00 90.00 120.00
Sites, in units of the cell vectors:
La: 0.6667 0.3333 0.7614
La: 0.3333 0.6667 0.2386
Ga: 0.0000 0.0000 0.0000
Ga: 0.0000 0.0000 0.5000
Pd: 0.3333 0.6667 0.5705
Pd: 0.6667 0.3333 0.4295
Ni: 0.3333 0.6667 0.9542
Ni: 0.6667 0.3333 0.0458

Properties
Total moment, μB per formula unit: 0.0
Space-group type: P-3m1 (164)
E, eV per atom: -5.35
Excess energy over the best structure of this formula in the dataset, kJ/mol of atoms: 0.00

No. 5
The following is a DFT calculation (PBE-GGA) of a relaxed structure of Sm2Ho2CBr5.

Lattice parameters (Å, degrees): 9.1261 9.1261 8.1480 103.08 103.08 24.13
Sites, in units of the cell vectors:
Br: 0.8384 0.8384 0.6486
Br: 0.5000 0.5000 0.5000
Br: 0.8329 0.8329 0.1850
Br: 0.1616 0.1616 0.3514
Br: 0.1671 0.1671 0.8150
Ho: 0.9995 0.9995 0.1999
Ho: 0.0005 0.0005 0.8001
C: 0.5000 0.5000 0.0000
Sm: 0.6425 0.6425 0.0749
Sm: 0.3575 0.3575 0.9251

Properties
Total moment, μB per formula unit: 0.2
Space-group type: C2/m (12)
E, eV per atom: -5.05
Excess energy over the best structure of this formula in the dataset, kJ/mol of atoms: 0.30

No. 6
The following is a DFT calculation (PBE-GGA) of a relaxed structure of TmZnCd.

Lattice parameters (Å, degrees): 4.7969 4.7969 4.7969 60.00 60.00 60.00
Sites, in units of the cell vectors:
Zn: 0.7500 0.7500 0.7500
Cd: 0.2500 0.2500 0.2500
Tm: 0.0000 0.0000 0.0000

Properties
Total moment, μB per formula unit: 0.0
Space-group type: F-43m (216)
E, eV per atom: -1.99
ΔH_f (0 K), eV/atom: 0.2243

No. 7
The following is a DFT calculation (PBE-GGA) of a relaxed structure of NpInB.

Lattice parameters (Å, degrees): 4.6024 4.6024 4.6024 60.00 60.00 60.00
Sites, in units of the cell vectors:
B: 0.2500 0.2500 0.2500
Np: 0.7500 0.7500 0.7500
In: 0.0000 0.0000 0.0000

Properties
Total moment, μB per formula unit: 4.7
Space-group type: F-43m (216)
E, eV per atom: -5.97
Excess energy over the best structure of this formula in the dataset, kJ/mol of atoms: 95.27

No. 8
The following is a DFT calculation (PBE-GGA) of a relaxed structure of BeCoCu4B2.

Lattice parameters (Å, degrees): 3.4363 3.4363 6.4710 90.00 90.00 90.00
Sites, in units of the cell vectors:
B: 0.5000 0.5000 0.5000
B: 0.0000 0.0000 0.0000
Be: 0.0000 0.0000 0.5000
Cu: 0.5000 0.0000 0.7276
Cu: 0.0000 0.5000 0.2724
Cu: 0.0000 0.5000 0.7276
Cu: 0.5000 0.0000 0.2724
Co: 0.5000 0.5000 0.0000

Properties
Total moment, μB per formula unit: 0.0
Space-group type: P4/mmm (123)
E, eV per atom: -4.53
Excess energy over the best structure of this formula in the dataset, kJ/mol of atoms: 0.00

No. 9
The following is a DFT calculation (PBE-GGA) of a relaxed structure of Ta4SiAuC2.

Lattice parameters (Å, degrees): 3.2012 3.2012 13.0474 90.00 90.00 120.00
Sites, in units of the cell vectors:
Ta: 0.3333 0.6667 0.3282
Ta: 0.0000 0.0000 0.1464
Ta: 0.3333 0.6667 0.6718
Ta: 0.0000 0.0000 0.8536
Au: 0.0000 0.0000 0.5000
Si: 0.3333 0.6667 0.0000
C: 0.6667 0.3333 0.2398
C: 0.6667 0.3333 0.7602

Properties
Total moment, μB per formula unit: 0.0
Space-group type: P-6m2 (187)
E, eV per atom: -9.79

No. 10
The following is a DFT calculation (PBE-GGA) of a relaxed structure of Sc2TlPd.

Lattice parameters (Å, degrees): 4.8191 4.8191 4.8191 60.00 60.00 60.00
Sites, in units of the cell vectors:
Tl: 0.5000 0.5000 0.5000
Sc: 0.0000 0.0000 0.0000
Sc: 0.7500 0.7500 0.7500
Pd: 0.2500 0.2500 0.2500

Properties
Total moment, μB per formula unit: 1.0
Space-group type: F-43m (216)
E, eV per atom: -5.39

No. 11
The following is a DFT calculation (PBE-GGA) of a relaxed structure of Zr2Be15Co2.

Lattice parameters (Å, degrees): 5.7181 5.7181 5.7181 83.11 83.11 83.11
Sites, in units of the cell vectors:
Be: 0.5000 0.0000 0.0000
Be: 0.3400 0.8455 0.3400
Be: 0.0000 0.7199 0.2801
Be: 0.8455 0.3400 0.3400
Be: 0.7199 0.2801 0.0000
Be: 0.6600 0.6600 0.1545
Be: 0.7199 0.0000 0.2801
Be: 0.6600 0.1545 0.6600
Be: 0.1545 0.6600 0.6600
Be: 0.0000 0.2801 0.7199
Be: 0.2801 0.7199 0.0000
Be: 0.2801 0.0000 0.7199
Be: 0.0000 0.0000 0.5000
Be: 0.3400 0.3400 0.8455
Be: 0.0000 0.5000 0.0000
Zr: 0.3406 0.3406 0.3406
Zr: 0.6594 0.6594 0.6594
Co: 0.8966 0.8966 0.8966
Co: 0.1034 0.1034 0.1034

Properties
Total moment, μB per formula unit: 0.1
Space-group type: R-3m (166)
E, eV per atom: -4.88

No. 12
The following is a DFT calculation (PBE-GGA) of a relaxed structure of Li2HfOs.

Lattice parameters (Å, degrees): 4.4428 4.4428 4.4428 60.00 60.00 60.00
Sites, in units of the cell vectors:
Os: 0.7500 0.7500 0.7500
Hf: 0.5000 0.5000 0.5000
Li: 0.0000 0.0000 0.0000
Li: 0.2500 0.2500 0.2500

Properties
Total moment, μB per formula unit: 0.0
Space-group type: F-43m (216)
E, eV per atom: -6.23

No. 13
The following is a DFT calculation (PBE-GGA) of a relaxed structure of K2NiAgBr6.

Lattice parameters (Å, degrees): 7.2936 7.2936 7.2936 61.84 61.84 61.84
Sites, in units of the cell vectors:
Ag: 0.5002 0.5002 0.5002
Br: 0.8223 0.7047 0.2312
Br: 0.7693 0.1781 0.2957
Br: 0.1781 0.2957 0.7693
Br: 0.7047 0.2312 0.8223
Br: 0.2312 0.8223 0.7047
Br: 0.2957 0.7693 0.1781
K: 0.7501 0.7501 0.7501
K: 0.2502 0.2502 0.2502
Ni: 0.0002 0.0002 0.0002

Properties
Total moment, μB per formula unit: 1.0
Space-group type: R-3 (148)
E, eV per atom: -2.93

No. 14
The following is a DFT calculation (PBE-GGA) of a relaxed structure of YAgAsO.

Lattice parameters (Å, degrees): 3.7017 7.9102 5.9811 90.00 90.00 90.00
Sites, in units of the cell vectors:
Y: 0.5000 0.7870 0.9379
Y: 0.5000 0.2130 0.4379
Ag: 0.0000 0.3768 0.9408
Ag: 0.0000 0.6232 0.4408
O: 0.0000 0.3408 0.4377
O: 0.0000 0.6592 0.9377
As: 0.5000 0.8444 0.4376
As: 0.5000 0.1556 0.9376

Properties
Total moment, μB per formula unit: 0.0
Space-group type: Pmc2_1 (26)
E, eV per atom: -5.98
Excess energy over the best structure of this formula in the dataset, kJ/mol of atoms: 32.69

No. 15
The following is a DFT calculation (PBE-GGA) of a relaxed structure of PrSe2.

Lattice parameters (Å, degrees): 5.9259 5.9259 5.9259 60.00 60.00 60.00
Sites, in units of the cell vectors:
Se: 0.1250 0.6250 0.6250
Se: 0.6250 0.6250 0.6250
Se: 0.6250 0.1250 0.6250
Se: 0.6250 0.6250 0.1250
Pr: 0.2500 0.2500 0.2500
Pr: 0.0000 0.0000 0.0000

Properties
Total moment, μB per formula unit: 0.8
Space-group type: Fd-3m (227)
E, eV per atom: -4.26

No. 16
The following is a DFT calculation (PBE-GGA) of a relaxed structure of Zr8Ga2C3N3.

Lattice parameters (Å, degrees): 3.3134 3.3134 24.6798 90.00 90.00 120.00
Sites, in units of the cell vectors:
Zr: 0.3333 0.6667 0.5534
Zr: 0.6667 0.3333 0.0547
Zr: 0.0000 0.0000 0.8428
Zr: 0.3333 0.6667 0.9453
Zr: 0.0000 0.0000 0.6607
Zr: 0.6667 0.3333 0.4466
Zr: 0.0000 0.0000 0.1572
Zr: 0.0000 0.0000 0.3393
C: 0.0000 0.0000 0.5000
C: 0.6667 0.3333 0.6130
C: 0.3333 0.6667 0.3870
N: 0.6667 0.3333 0.8930
N: 0.3333 0.6667 0.1070
N: 0.0000 0.0000 0.0000
Ga: 0.6667 0.3333 0.2475
Ga: 0.3333 0.6667 0.7525

Properties
Total moment, μB per formula unit: 0.0
Space-group type: P-3m1 (164)
E, eV per atom: -9.04

No. 17
The following is a DFT calculation (PBE-GGA) of a relaxed structure of NdErGa2Pt4.

Lattice parameters (Å, degrees): 4.3968 4.3968 9.2779 90.00 90.00 120.00
Sites, in units of the cell vectors:
Ga: 0.6667 0.3333 0.7557
Ga: 0.6667 0.3333 0.2443
Er: 0.0000 0.0000 0.0000
Pt: 0.3333 0.6667 0.1603
Pt: 0.3333 0.6667 0.8397
Pt: 0.0000 0.0000 0.6789
Pt: 0.0000 0.0000 0.3211
Nd: 0.3333 0.6667 0.5000

Properties
Total moment, μB per formula unit: 0.0
Space-group type: P-6m2 (187)
E, eV per atom: -5.98

No. 18
The following is a DFT calculation (PBE-GGA) of a relaxed structure of DyYGa2.

Lattice parameters (Å, degrees): 6.1967 6.1967 5.0406 90.00 90.00 109.39
Sites, in units of the cell vectors:
Ga: 0.8729 0.6266 0.7500
Ga: 0.3734 0.1271 0.7500
Ga: 0.1271 0.3734 0.2500
Ga: 0.6266 0.8729 0.2500
Dy: 0.6263 0.3737 0.2500
Dy: 0.3737 0.6263 0.7500
Y: 0.8736 0.1264 0.7500
Y: 0.1264 0.8736 0.2500

Properties
Total moment, μB per formula unit: 0.0
Space-group type: Cmcm (63)
E, eV per atom: -4.87

No. 19
The following is a DFT calculation (PBE-GGA) of a relaxed structure of Gd3Mg3CuAu2.

Lattice parameters (Å, degrees): 7.5909 7.5909 4.1049 90.00 90.00 120.00
Sites, in units of the cell vectors:
Cu: 0.0000 0.0000 0.0000
Mg: 0.7613 0.7613 0.5000
Mg: 0.0000 0.2387 0.5000
Mg: 0.2387 0.0000 0.5000
Au: 0.3333 0.6667 0.5000
Au: 0.6667 0.3333 0.5000
Gd: 0.0000 0.5892 0.0000
Gd: 0.5892 0.0000 0.0000
Gd: 0.4108 0.4108 0.0000

Properties
Total moment, μB per formula unit: 0.0
Space-group type: P-62m (189)
E, eV per atom: -3.74

No. 20
The following is a DFT calculation (PBE-GGA) of a relaxed structure of GdBeAu4.

Lattice parameters (Å, degrees): 3.5250 3.5250 9.0610 90.00 90.00 90.00
Sites, in units of the cell vectors:
Au: 0.5000 0.5000 0.6467
Au: 0.0000 0.0000 0.8058
Au: 0.0000 0.0000 0.1942
Au: 0.5000 0.5000 0.3533
Gd: 0.5000 0.5000 0.0000
Be: 0.0000 0.0000 0.5000

Properties
Total moment, μB per formula unit: 0.0
Space-group type: P4/mmm (123)
E, eV per atom: -3.86